{"formula": "PmBe4Rh3O12", "functional": "PBE-GGA", "state": "optimized geometry", "lattice": [[5.013, 2.894, 2.496], [-5.013, 2.894, 2.496], [0.000, -5.789, 2.496]], "species": ["Pm", "Be", "Be", "Be", "Be", "Rh", "Rh", "Rh", "O", "O", "O", "O", "O", "O", "O", "O", "O", "O", "O", "O"], "frac_coords": [[0.000, 0.000, 0.000], [0.069, 0.500, 0.931], [0.500, 0.500, 0.500], [0.500, 0.931, 0.069], [0.931, 0.069, 0.500], [0.000, 0.564, 0.436], [0.436, 0.000, 0.564], [0.564, 0.436, 0.000], [0.034, 0.644, 0.773], [0.087, 0.913, 0.500], [0.227, 0.356, 0.966], [0.345, 0.655, 0.500], [0.356, 0.966, 0.227], [0.500, 0.087, 0.913], [0.500, 0.345, 0.655], [0.644, 0.773, 0.034], [0.655, 0.500, 0.345], [0.773, 0.034, 0.644], [0.913, 0.500, 0.087], [0.966, 0.227, 0.356]], "dos_at_fermi_per_ev_cell": 8.70, "e_form_raw_ev_per_atom": -1.674}